Record 1
Li3MgV | GGA-PBE | optimized geometry

Properties
SG	Pm-3m (221)
VASP energy	-2.44	eV/atom

Lattice parameters (Å, degrees): 4.909 4.909 4.909 90.00 90.00 90.00
Sites, in units of the cell vectors:
Li  0.000  0.000  0.500
Li  0.000  0.500  0.000
Li  0.500  0.000  0.000
Mg  0.500  0.500  0.500
V  0.000  0.000  0.000

***

Record 2
LiMg2V | GGA-PBE | optimized geometry

Properties
SG	I-42d (122)
VASP energy	-3.00	eV/atom

Lattice parameters (Å, degrees): 6.001 6.001 6.001 103.22 103.22 122.87
Sites, in units of the cell vectors:
Li  0.000  0.000  0.000
Li  0.750  0.250  0.500
Mg  0.104  0.625  0.979
Mg  0.375  0.354  0.479
Mg  0.646  0.125  0.021
Mg  0.875  0.896  0.521
V  0.250  0.750  0.500
V  0.500  0.500  0.000

***

Magnetization (Bohr magnetons per cell)
4.43 6.82
Excess energy over the best structure of this formula in the dataset (eV/atom)
0.000 0.213